VASP calculation (PBE+U) on AcMnF6 after structural relaxation.

abc: 4.099 5.224 5.224
angles: 96.03 90.00 90.00
Atoms (fractional coordinates):
1 Ac 0.500 0.438 0.562
2 Mn 0.000 0.890 0.110
3 F 0.000 0.638 0.833
4 F 0.000 0.167 0.362
5 F 0.000 0.638 0.362
6 F 0.500 0.971 0.627
7 F 0.500 0.373 0.029
8 F 0.500 0.885 0.115

Summary:
As for the raw total energy: -5.95 eV/atom. Its density is 5.91 Mg/m³.

***

VASP calculation (PBE+U) on Ac3Mn5F12 after structural relaxation.

abc: 12.398 12.398 12.398
angles: 109.47 109.47 109.47
Atoms (fractional coordinates):
1 Ac 0.750 0.375 0.125
2 Ac 0.875 0.750 0.125
3 Ac 0.375 0.750 0.625
4 Ac 0.250 0.125 0.375
5 Ac 0.875 0.125 0.250
6 Ac 0.375 0.625 0.250
7 Ac 0.625 0.375 0.750
8 Ac 0.125 0.875 0.750
9 Ac 0.750 0.875 0.625
10 Ac 0.625 0.250 0.375
11 Ac 0.125 0.250 0.875
12 Ac 0.250 0.625 0.875
13 Mn 0.125 0.375 0.250
14 Mn 0.000 0.500 0.000
15 Mn 0.000 0.000 0.000
16 Mn 0.375 0.250 0.125
17 Mn 0.500 0.000 0.500
18 Mn 0.500 0.500 0.000
19 Mn 0.125 0.750 0.375
20 Mn 0.750 0.125 0.875
21 Mn 0.750 0.625 0.375
22 Mn 0.375 0.125 0.750
23 Mn 0.625 0.875 0.250
24 Mn 0.500 0.500 0.500
25 Mn 0.500 0.000 0.000
26 Mn 0.000 0.000 0.500
27 Mn 0.250 0.375 0.625
28 Mn 0.250 0.875 0.125
29 Mn 0.000 0.500 0.500
30 Mn 0.875 0.250 0.625
31 Mn 0.625 0.750 0.875
32 Mn 0.875 0.625 0.750
33 F 0.712 0.132 0.063
34 F 0.351 0.563 0.432
35 F 0.937 0.368 0.288
36 F 0.563 0.212 0.132
37 F 0.580 0.712 0.649
38 F 0.937 0.568 0.149
39 F 0.351 0.788 0.420
40 F 0.068 0.920 0.132
41 F 0.568 0.937 0.649
42 F 0.712 0.580 0.149
43 F 0.788 0.437 0.368
44 F 0.851 0.932 0.063
45 F 0.132 0.712 0.563
46 F 0.368 0.432 0.080
47 F 0.080 0.932 0.368
48 F 0.420 0.132 0.568
49 F 0.080 0.149 0.212
50 F 0.437 0.649 0.068
51 F 0.851 0.920 0.288
52 F 0.132 0.420 0.068
53 F 0.368 0.937 0.788
54 F 0.568 0.632 0.420
55 F 0.932 0.851 0.563
56 F 0.788 0.351 0.920
57 F 0.432 0.368 0.580
58 F 0.068 0.149 0.437
59 F 0.212 0.649 0.080
60 F 0.149 0.080 0.712
61 F 0.632 0.063 0.212
62 F 0.868 0.580 0.932
63 F 0.563 0.351 0.932
64 F 0.580 0.868 0.432
65 F 0.920 0.851 0.788
66 F 0.920 0.068 0.632
67 F 0.868 0.288 0.437
68 F 0.149 0.068 0.937
69 F 0.632 0.568 0.920
70 F 0.432 0.063 0.351
71 F 0.288 0.420 0.851
72 F 0.212 0.563 0.632
73 F 0.932 0.080 0.868
74 F 0.649 0.212 0.580
75 F 0.437 0.788 0.868
76 F 0.063 0.432 0.851
77 F 0.420 0.288 0.351
78 F 0.063 0.632 0.712
79 F 0.649 0.437 0.568
80 F 0.288 0.868 0.937

Summary:
As for the raw total energy: -6.09 eV/atom. Its density is 5.36 Mg/m³.

***

VASP calculation (PBE+U) on NaAcMn2F8 after structural relaxation.

abc: 5.625 5.625 6.979
angles: 113.77 113.77 90.00
Atoms (fractional coordinates):
1 Na 0.000 0.000 0.000
2 Ac 0.750 0.250 0.500
3 Mn 0.500 0.500 0.000
4 Mn 0.250 0.750 0.500
5 F 0.790 0.841 0.194
6 F 0.404 0.353 0.194
7 F 0.591 0.652 0.691
8 F 0.099 0.038 0.691
9 F 0.962 0.409 0.309
10 F 0.348 0.901 0.309
11 F 0.159 0.596 0.806
12 F 0.647 0.210 0.806

Summary:
As for the raw total energy: -6.11 eV/atom. Its density is 4.68 Mg/m³.

***

VASP calculation (PBE+U) on AcMnO2F after structural relaxation.

abc: 3.902 6.577 6.819
angles: 90.00 90.00 107.25
Atoms (fractional coordinates):
1 Ac 0.711 0.422 0.750
2 Ac 0.289 0.578 0.250
3 Mn 0.000 0.000 0.000
4 Mn 0.000 0.000 0.500
5 O 0.156 0.312 0.975
6 O 0.844 0.688 0.025
7 O 0.156 0.312 0.525
8 O 0.844 0.688 0.475
9 F 0.502 0.004 0.750
10 F 0.498 0.996 0.250

Summary:
As for the raw total energy: -7.46 eV/atom. Its density is 6.62 Mg/m³.

***

VASP calculation (PBE+U) on Rb2AcMnF8 after structural relaxation.

abc: 4.402 6.444 7.762
angles: 87.57 91.04 95.50
Atoms (fractional coordinates):
1 Rb 0.512 0.502 0.771
2 Rb 0.488 0.498 0.229
3 Ac 0.000 0.000 0.500
4 Mn 0.000 0.000 0.000
5 F 0.083 0.828 0.205
6 F 0.638 0.829 0.992
7 F 0.930 0.212 0.233
8 F 0.917 0.172 0.795
9 F 0.362 0.171 0.008
10 F 0.070 0.788 0.767
11 F 0.505 0.786 0.487
12 F 0.495 0.214 0.513

Summary:
As for the raw total energy: -5.49 eV/atom. Its density is 4.59 Mg/m³.

***

VASP calculation (PBE+U) on RbAcMnF6 after structural relaxation.

abc: 6.315 6.315 10.889
angles: 90.00 90.00 120.00
Atoms (fractional coordinates):
1 Rb 0.000 0.000 0.000
2 Rb 0.000 0.000 0.500
3 Ac 0.333 0.667 0.250
4 Ac 0.667 0.333 0.750
5 Mn 0.667 0.333 0.250
6 Mn 0.333 0.667 0.750
7 F 0.641 0.610 0.145
8 F 0.969 0.359 0.145
9 F 0.359 0.969 0.645
10 F 0.031 0.641 0.855
11 F 0.390 0.359 0.355
12 F 0.969 0.610 0.355
13 F 0.610 0.969 0.855
14 F 0.641 0.031 0.355
15 F 0.031 0.390 0.645
16 F 0.390 0.031 0.145
17 F 0.610 0.641 0.645
18 F 0.359 0.390 0.855

Summary:
As for the raw total energy: -5.95 eV/atom. Its density is 4.25 Mg/m³.